First-principles (PBE-GGA) data for a relaxed structure of CsZrCuW2, as listed in Alexandria via LeMat-Bulk.

Unit cell a=4.7004 b=5.4527 c=4.7004 alpha=90.00 beta=90.00 gamma=90.00
Element x y z (fractional)
1 W 0.5000 0.0000 0.0000
2 W 0.0000 0.0000 0.5000
3 Zr 0.5000 0.5000 0.5000
4 Cs 0.0000 0.5000 0.0000
5 Cu 0.0000 0.0000 0.0000

Results
Space-group type = P4/mmm
Size of the total moment = 0.000 μB per atom
Calculated formation energy = 11.4 eV per formula unit